A | Entry from the Alexandria database: crystalline CaZn2Fe4O8 at its relaxed geometry (PBE with a Hubbard U).

Unit cell a=6.2176 b=6.4618 c=8.9798 alpha=90.00 beta=90.00 gamma=90.00
Closest atoms and distances in Å follow each position.
Space group Imm2 (No. 44)
One atom of each set of equivalent atoms:
Ca (0.0000, 0.0000, 0.0000)  4 O 2.15-2.23
Zn (0.2178, 0.5000, 0.2545)  3 O 1.98-2.06
Fe (0.0000, 0.0000, 0.3238)  2 O 1.95
Fe (0.0000, 0.2667, 0.5778)  6 O 2.02-2.24
Fe (0.0000, 0.5000, 0.8652)  2 O 2.02
O (0.0000, 0.2015, 0.7981)  2 Fe 2.02, 2 Zn 2.22, 1 Ca 2.23
O (0.0000, 0.2997, 0.3504)  2 Fe 1.95-2.05, 2 Zn 2.06
O (0.2102, 0.5000, 0.6304)  2 Fe 2.05, 1 Ca 2.15
O (0.2232, 0.0000, 0.5377)  1 Zn 1.98

---

B | Entry from the Alexandria database: crystalline CaZn2Fe4O8 at its relaxed geometry (PBE with a Hubbard U).

Unit cell a=10.5284 b=6.0127 c=6.4144 alpha=90.00 beta=122.18 gamma=90.00
Closest atoms and distances in Å follow each position.
Space group C2/m (No. 12)
One atom of each set of equivalent atoms:
Ca (0.0000, 0.0000, 0.0000)  6 O 2.28-2.29
Zn (0.2500, 0.2500, 0.0000)  2 O 1.97
Fe (0.0000, 0.5000, 0.0000)  2 O 2.03
Fe (0.0000, 0.5000, 0.5000)  6 O 2.13-2.19
Fe (0.1589, 0.0000, 0.4720)  4 O 1.92-2.01
O (0.0172, 0.2459, 0.2850)  2 Fe 1.99-2.13
O (0.2267, 0.5000, 0.1744)  2 Fe 1.92-2.03, 2 Zn 1.97
O (0.2455, 0.5000, 0.7284)  2 Fe 2.01-2.19

---

Most stable = A